No. 1
First-principles (GGA-PBE) data for a geometry-optimized BeTc structure, as listed in Alexandria.

abc: 3.018 3.018 2.514
angles: 90.00 90.00 90.00
Element x y z (fractional)
1 Be 0.000 0.000 0.000
2 Tc 0.500 0.500 0.500

Its space group is P4/mmm, No. 123. For the uncorrected energy, the calculation gives -7.059 eV/atom. The offset from the most stable computed form comes out at 43 kJ/mol of formula units. The energy relative to the elements comes out at -13 meV/atom.

=====

No. 2
First-principles (GGA-PBE) data for a geometry-optimized Be2Tc structure, as listed in Alexandria.

abc: 4.188 4.188 2.403
angles: 90.00 90.00 90.00
Element x y z (fractional)
1 Be 0.000 0.500 0.000
2 Be 0.500 0.000 0.000
3 Tc 0.000 0.000 0.500

Its space group is P4/mmm, No. 123. For the uncorrected energy, the calculation gives -5.543 eV/atom. The offset from the most stable computed form comes out at 230 kJ/mol of formula units. The energy relative to the elements comes out at 397 meV/atom.

=====

No. 3
First-principles (GGA-PBE) data for a geometry-optimized Be5Tc3 structure, as listed in Alexandria.

abc: 7.229 7.469 3.190
angles: 90.00 90.00 90.00
Element x y z (fractional)
1 Be 0.000 0.000 0.000
2 Be 0.248 0.500 0.500
3 Be 0.250 0.250 0.000
4 Be 0.250 0.750 0.000
5 Be 0.252 0.000 0.500
6 Be 0.500 0.500 0.000
7 Be 0.748 0.000 0.500
8 Be 0.750 0.250 0.000
9 Be 0.750 0.750 0.000
10 Be 0.752 0.500 0.500
11 Tc 0.000 0.223 0.500
12 Tc 0.000 0.500 0.000
13 Tc 0.000 0.777 0.500
14 Tc 0.500 0.000 0.000
15 Tc 0.500 0.277 0.500
16 Tc 0.500 0.723 0.500

Its space group is Cmmm, No. 65. For the uncorrected energy, the calculation gives -6.312 eV/atom. The offset from the most stable computed form comes out at 0 kJ/mol of formula units. The energy relative to the elements comes out at -96 meV/atom.